No. 1
VASP calculation (meta-GGA SCAN) on a PBEsol-optimized structure of NiMoAu2.

Cell: 2.745 4.616 9.509 Å, 90.00 90.00 90.00°
Space group Imm2 (No. 44)
Asymmetric unit:
Ni (0.000, 0.000, 0.000) x2
Mo (0.000, 0.500, 0.289) x2
Au (0.000, 0.000, 0.514) x2
Au (0.000, 0.500, 0.732) x2

Computed properties:
Its energy relative to the elements is 0.2443 eV/atom. For the total energy, the calculation gives -47.099 eV/atom. Its energy above the most stable polymorph in this dataset is 3 meV/atom.


No. 2
VASP calculation (meta-GGA SCAN) on a PBEsol-optimized structure of NiMoAu.

Cell: 2.723 2.723 11.376 Å, 90.00 90.00 90.00°
Space group I4mm (No. 107)
Asymmetric unit:
Ni (0.000, 0.000, 0.000) x2
Mo (0.000, 0.000, 0.355) x2
Au (0.000, 0.000, 0.669) x2

Computed properties:
Its energy relative to the elements is 0.0828 eV/atom. For the total energy, the calculation gives -39.989 eV/atom.


No. 3
VASP calculation (meta-GGA SCAN) on a PBEsol-optimized structure of NiMo3Au.

Cell: 4.394 4.394 4.394 Å, 90.00 90.00 90.00°
Space group Pm-3m (No. 221)
Asymmetric unit:
Ni (0.000, 0.000, 0.000) x1
Mo (0.000, 0.000, 0.500) x3
Au (0.500, 0.500, 0.500) x1

Computed properties:
Its energy relative to the elements is 1.2769 eV/atom. For the total energy, the calculation gives -36.720 eV/atom.


No. 4
VASP calculation (meta-GGA SCAN) on a PBEsol-optimized structure of ReNiMoAu2.

Cell: 4.509 4.509 4.237 Å, 90.00 90.00 90.00°
Space group P4/mmm (No. 123)
Asymmetric unit:
Re (0.000, 0.000, 0.000) x1
Ni (0.500, 0.500, 0.500) x1
Mo (0.500, 0.500, 0.000) x1
Au (0.000, 0.500, 0.500) x2

Computed properties:
Its energy relative to the elements is 1.5512 eV/atom. For the total energy, the calculation gives -50.543 eV/atom.


No. 5
VASP calculation (meta-GGA SCAN) on a PBEsol-optimized structure of MoOs2Au.

Cell: 2.7544 2.7544 27.4276 Å, 90.00 90.00 120.00°
Space group R-3m (No. 166, hexagonal axes)
Asymmetric unit:
Mo (0.0000, 0.0000, 0.0000) x3
Os (0.0000, 0.0000, 0.2544) x6
Au (0.0000, 0.0000, 0.5000) x3

Computed properties:
Its energy relative to the elements is 0.2872 eV/atom. For the total energy, the calculation gives -61.663 eV/atom.


No. 6
VASP calculation (meta-GGA SCAN) on a PBEsol-optimized structure of Mo2OsAu.

Cell: 3.880 3.880 3.990 Å, 90.00 90.00 90.00°
Space group P4/mmm (No. 123)
Asymmetric unit:
Mo (0.000, 0.500, 0.000) x2
Os (0.000, 0.000, 0.500) x1
Au (0.500, 0.500, 0.500) x1

Computed properties:
Its energy relative to the elements is 0.0940 eV/atom. For the total energy, the calculation gives -52.608 eV/atom. Its energy above the most stable polymorph in this dataset is 44 meV/atom.


No. 7
VASP calculation (meta-GGA SCAN) on a PBEsol-optimized structure of Mo2OsAu.

Cell: 9.190 2.809 4.812 Å, 90.00 100.55 90.00°
Space group Cm (No. 8)
Asymmetric unit:
Mo (0.000, 0.000, 0.000) x2
Mo (0.248, 0.000, 0.733) x2
Os (0.007, 0.500, 0.527) x2
Au (0.254, 0.500, 0.245) x2

Computed properties:
Its energy relative to the elements is 0.2148 eV/atom. For the total energy, the calculation gives -52.487 eV/atom. Its energy above the most stable polymorph in this dataset is 164 meV/atom.


No. 8
VASP calculation (meta-GGA SCAN) on a PBEsol-optimized structure of Mo2OsAu.

Cell: 2.787 3.935 5.546 Å, 90.00 90.00 90.00°
Space group Pmmm (No. 47)
Asymmetric unit:
Mo (0.000, 0.000, 0.228) x2
Os (0.500, 0.500, 0.000) x1
Au (0.500, 0.500, 0.500) x1

Computed properties:
Its energy relative to the elements is 0.0503 eV/atom. For the total energy, the calculation gives -52.651 eV/atom. Its energy above the most stable polymorph in this dataset is 0 meV/atom.


No. 9
VASP calculation (meta-GGA SCAN) on a PBEsol-optimized structure of Mo3OsAu.

Cell: 4.652 4.652 4.652 Å, 90.00 90.00 90.00°
Space group Pm-3m (No. 221)
Asymmetric unit:
Mo (0.000, 0.000, 0.500) x3
Os (0.000, 0.000, 0.000) x1
Au (0.500, 0.500, 0.500) x1

Computed properties:
Its energy relative to the elements is 1.5880 eV/atom. For the total energy, the calculation gives -47.551 eV/atom.


No. 10
VASP calculation (meta-GGA SCAN) on a PBEsol-optimized structure of Mo3PAu.

Cell: 4.763 4.763 4.763 Å, 90.00 90.00 90.00°
Space group Pm-3m (No. 221)
Asymmetric unit:
Mo (0.000, 0.000, 0.500) x3
P (0.500, 0.500, 0.500) x1
Au (0.000, 0.000, 0.000) x1

Computed properties:
Its energy relative to the elements is 2.4744 eV/atom. For the total energy, the calculation gives -34.368 eV/atom.


No. 11
VASP calculation (meta-GGA SCAN) on a PBEsol-optimized structure of MoPAu2.

Cell: 2.822 4.527 5.100 Å, 90.00 104.60 90.00°
Space group P2/m (No. 10)
Asymmetric unit:
Mo (0.000, 0.000, 0.000) x1
P (0.000, 0.000, 0.500) x1
Au (0.348, 0.500, 0.740) x2

Computed properties:
Its energy relative to the elements is 0.3373 eV/atom. For the total energy, the calculation gives -45.562 eV/atom.


No. 12
VASP calculation (meta-GGA SCAN) on a PBEsol-optimized structure of MoPAu2.

Cell: 2.953 3.925 11.160 Å, 90.00 90.00 90.00°
Space group Immm (No. 71)
Asymmetric unit:
Mo (0.000, 0.000, 0.000) x2
P (0.000, 0.000, 0.500) x2
Au (0.000, 0.500, 0.192) x4

Computed properties:
Its energy relative to the elements is 0.1883 eV/atom. For the total energy, the calculation gives -45.711 eV/atom.